# AcAgH

A geometry-optimized AcAgH structure (PBE, Alexandria via LeMat-Bulk).

* volume: 71.9 Å³ per cell
* final energy: -3.624 eV/atom
* SG: P-6m2

```
AcAgH
1.0
4.248 0.000 0.000
-2.124 3.679 0.000
0.000 0.000 4.599
H Ac Ag
1 1 1
direct
0.333 0.667 0.500
0.667 0.333 0.500
0.000 0.000 0.000
```